## Rb2FeBr2Cl2 (GGA-PBE)

Data for Rb2FeBr2Cl2 after structural relaxation.

The space group is Immm (No. 71) and the conventional cell measures 4.278, 7.332 and 13.950 Å, with angles of 90.00, 90.00 and 90.00 degrees. Symmetry generates all atoms from Rb at (0.000, 0.000, 0.155), Fe at (0.000, 0.500, 0.000), Br at (0.000, 0.243, 0.500) and Cl at (0.000, 0.500, 0.169).

The calculation puts the formation energy without anion corrections at -1.264 eV per atom. Its crystal system is orthorhombic. The total magnetization is 8.000 μB/cell.